Hf2MnP | PBE | relaxed

Lattice parameters (Å, degrees): 6.9473 6.9473 5.7067 52.50 52.50 90.00
Sites, in units of the cell vectors:
P 0.5000 0.5000 0.0000
P 0.2500 0.7500 0.5000
Mn 0.0000 0.0000 0.0000
Mn 0.7500 0.2500 0.5000
Hf 0.6255 0.1250 0.2500
Hf 0.1245 0.6250 0.2500
Hf 0.3750 0.3745 0.7500
Hf 0.8750 0.8755 0.7500

- SG: I-42d, No. 122
- DFT formation energy: 0.07 eV per atom

---

KRb2CuO2 | PBE | relaxed

Lattice parameters (Å, degrees): 4.3831 6.0100 10.9456 90.00 90.00 90.00
Sites, in units of the cell vectors:
K 0.5000 0.5000 0.0000
K 0.0000 0.0000 0.5000
Rb 0.5000 0.0971 0.2393
Rb 0.0000 0.5971 0.2607
Rb 0.5000 0.9029 0.7607
Rb 0.0000 0.4029 0.7393
Cu 0.0000 0.0000 0.0000
Cu 0.5000 0.5000 0.5000
O 0.5000 0.7369 0.3962
O 0.5000 0.2631 0.6038
O 0.0000 0.7631 0.8962
O 0.0000 0.2369 0.1038

- SG: Pnnm, No. 58
- Formation energy without anion corrections: -990.3 meV/atom

---

Li3Pu3NpS8 | PBE | relaxed

Lattice parameters (Å, degrees): 8.0013 8.0005 7.6242 121.63 90.00 120.01
Each line ends with the local moment (μB).
Sites, in units of the cell vectors:
Li 0.0000 0.0000 0.0000  0.00
Li 0.0000 0.5000 0.0000  0.00
Li 0.5000 0.5000 0.0000  0.00
Pu 0.5000 0.0000 0.5000  -5.01
Pu 0.5000 0.5000 0.5000  -5.00
Pu 0.0000 0.5000 0.5000  -5.00
Np 0.0000 0.0000 0.5000  3.06
S 0.2515 0.5029 0.2546  0.11
S 0.7485 0.4971 0.7454  0.11
S 0.7561 0.5123 0.2556  0.04
S 0.2439 0.4877 0.7444  0.04
S 0.7562 0.9993 0.2555  0.04
S 0.2438 0.0007 0.7445  0.04
S 0.2432 0.9994 0.2556  0.04
S 0.7568 0.0006 0.7444  0.04

- SG: R-3m, No. 166
- Formation energy without anion corrections: -1464.5 meV/atom

---

Gd2ZrPt | PBE | relaxed

Lattice parameters (Å, degrees): 3.5497 3.5497 7.8308 90.00 90.00 90.00
Each line ends with the local moment (μB).
Sites, in units of the cell vectors:
Gd 0.0000 0.0000 0.7837  -7.03
Gd 0.0000 0.0000 0.2163  -7.03
Zr 0.5000 0.5000 0.5000  -0.01
Pt 0.5000 0.5000 0.0000  0.01

- SG: P4/mmm, No. 123
- DFT formation energy: -0.50 eV per atom

---

Repeat the second record exactly.
KRb2CuO2 | PBE | relaxed

Lattice parameters (Å, degrees): 4.3831 6.0100 10.9456 90.00 90.00 90.00
Sites, in units of the cell vectors:
K 0.5000 0.5000 0.0000
K 0.0000 0.0000 0.5000
Rb 0.5000 0.0971 0.2393
Rb 0.0000 0.5971 0.2607
Rb 0.5000 0.9029 0.7607
Rb 0.0000 0.4029 0.7393
Cu 0.0000 0.0000 0.0000
Cu 0.5000 0.5000 0.5000
O 0.5000 0.7369 0.3962
O 0.5000 0.2631 0.6038
O 0.0000 0.7631 0.8962
O 0.0000 0.2369 0.1038

- SG: Pnnm, No. 58
- Formation energy without anion corrections: -990.3 meV/atom

---

- Number 4 is which compound?
  Gd2ZrPt